Density functional theory data (PBE-GGA) for a relaxed RbScGaAg2 crystal.

CIF file:
```
data_RbScGaAg2
_chemical_formula_sum 'Rb1 Sc1 Ga1 Ag2'
_cell_length_a 5.505
_cell_length_b 5.505
_cell_length_c 5.445
_cell_angle_alpha 90.00
_cell_angle_beta 90.00
_cell_angle_gamma 90.00
_space_group_name_H-M_alt 'P 4/m m m'
_space_group_IT_number 123
_space_group_name_Hall '-P 4 2'
loop_
_atom_site_label
_atom_site_type_symbol
_atom_site_fract_x
_atom_site_fract_y
_atom_site_fract_z
_atom_site_occupancy
Rb1 Rb 0.000 0.000 0.000 1
Sc1 Sc 0.500 0.500 0.500 1
Ga1 Ga 0.500 0.500 0.000 1
Ag1 Ag 0.000 0.500 0.500 1
```

Values from the calculation:
- total magnetization (μB per atom) = 0.00
- formation energy from the elements (kcal/mol of atoms) = 8.4
- VASP energy (eV/f.u.) = -14.21


Density functional theory data (PBE-GGA) for a relaxed RbGa2AgSn8 crystal.

CIF file:
```
data_RbGa2AgSn8
_chemical_formula_sum 'Rb3 Ga6 Ag3 Sn24'
_cell_length_a 6.3246
_cell_length_b 6.3246
_cell_length_c 29.7265
_cell_angle_alpha 90.00
_cell_angle_beta 90.00
_cell_angle_gamma 120.00
_space_group_name_H-M_alt 'R -3'
_space_group_IT_number 148
_space_group_name_Hall '-R 3'
loop_
_atom_site_label
_atom_site_type_symbol
_atom_site_fract_x
_atom_site_fract_y
_atom_site_fract_z
_atom_site_occupancy
Rb1 Rb 0.0000 0.0000 0.0000 1
Ga1 Ga 0.0000 0.0000 0.2896 1
Ag1 Ag 0.0000 0.0000 0.5000 1
Sn1 Sn 0.0000 0.0000 0.3942 1
Sn2 Sn 0.0124 0.4207 0.5491 1
```

Values from the calculation:
- total magnetization (μB per atom) = 0.00
- formation energy from the elements (kcal/mol of atoms) = 0.9
- VASP energy (eV/f.u.) = -41.42